Entry 1:
Density functional theory data (PBE) for Pr4MnS7 after structural relaxation.

Geometry as POSCAR:
```
Pr4MnS7
1.0
9.871 0.000 0.000
-4.935 8.548 0.000
0.000 0.000 7.133
Pr Mn S
8 2 14
Cartesian
-0.098 3.231 0.000
-2.088 7.018 0.000
0.000 5.699 3.239
2.749 1.700 3.567
2.187 6.848 0.000
4.935 2.849 6.805
7.024 1.530 3.567
5.034 5.318 3.567
0.000 0.000 1.680
0.000 0.000 5.247
-1.966 4.651 1.679
-0.044 2.150 4.308
-3.052 7.512 4.308
1.840 1.113 0.742
0.000 5.699 5.943
1.891 4.520 1.679
0.076 7.926 1.679
4.860 0.623 5.245
3.045 4.028 5.245
4.935 2.849 2.377
3.096 7.435 4.308
7.987 1.037 0.742
4.979 6.399 0.742
6.902 3.897 5.245
```

Crystal system: hexagonal

***

Entry 2:
Density functional theory data (PBE) for Pr3Mn5S12 after structural relaxation.

Geometry as POSCAR:
```
Pr3Mn5S12
1.0
-7.583 7.583 7.583
7.583 -7.583 7.583
7.583 7.583 -7.583
Pr Mn S
12 20 48
Cartesian
3.791 1.896 0.000
7.583 3.791 -1.896
1.896 0.000 3.791
9.478 0.000 3.791
0.000 3.791 1.896
3.791 -1.896 7.583
3.791 9.478 0.000
7.583 3.791 5.687
-1.896 7.583 3.791
5.687 7.583 3.791
0.000 3.791 9.478
3.791 5.687 7.583
0.000 0.000 0.000
3.791 3.791 -3.791
3.791 -3.791 3.791
7.583 0.000 0.000
11.374 1.896 0.000
7.583 -3.791 5.687
5.687 7.583 -3.791
5.687 0.000 3.791
3.791 5.687 0.000
7.583 3.791 1.896
-3.791 3.791 3.791
0.000 7.583 0.000
0.000 0.000 7.583
3.791 3.791 3.791
0.000 3.791 5.687
3.791 1.896 7.583
1.896 7.583 3.791
1.896 0.000 11.374
0.000 11.374 1.896
-3.791 5.687 7.583
2.223 -0.438 0.828
9.151 4.619 -4.229
9.806 0.438 0.828
9.151 -2.964 4.229
7.145 -0.828 2.223
11.811 -1.568 2.964
0.828 2.223 -0.438
10.546 3.354 -1.568
4.619 4.229 -1.568
6.755 2.223 0.438
-0.438 0.828 2.223
4.229 -1.568 4.619
7.145 6.755 -2.223
4.229 1.568 2.964
4.619 -4.229 9.151
6.755 -2.223 7.145
2.964 4.229 1.568
8.410 5.360 0.438
4.229 9.151 -2.964
7.145 0.828 5.360
2.223 7.145 -0.828
9.151 2.964 3.354
1.568 2.964 4.229
2.223 0.438 6.755
5.360 7.145 0.828
6.014 4.619 3.354
-1.568 4.619 4.229
5.360 0.438 8.410
0.438 6.755 2.223
3.354 -1.568 10.546
-0.828 2.223 7.145
4.619 3.354 6.014
0.828 9.806 0.438
2.964 11.811 -1.568
3.354 6.014 4.619
0.438 0.828 9.806
3.354 9.151 2.964
8.020 6.755 5.360
0.828 5.360 7.145
2.964 3.354 9.151
-2.964 4.229 9.151
6.755 5.360 8.020
-4.229 9.151 4.619
0.438 8.410 5.360
-1.568 10.546 3.354
-2.223 7.145 6.755
-1.568 2.964 11.811
5.360 8.020 6.755
```

Crystal system: cubic
N(E_F) (states/eV per cell): 18.9

***

Entry 3:
Density functional theory data (PBE) for TbPr2MnS5 after structural relaxation.

Geometry as POSCAR:
```
TbPr2MnS5
1.0
1.977 -8.340 0.000
1.977 8.340 0.000
0.000 0.000 12.068
Tb Pr Mn S
2 4 2 10
Cartesian
1.977 5.263 6.034
1.977 -5.263 0.000
1.977 6.366 2.012
1.977 6.291 9.868
1.977 -6.291 3.834
1.977 -6.366 8.046
1.977 0.835 10.896
1.977 -0.835 4.862
1.977 8.044 5.990
1.977 3.327 1.922
1.977 3.121 10.099
1.977 2.551 5.933
1.977 0.111 2.775
1.977 -0.111 8.810
1.977 -2.551 11.967
1.977 -3.121 4.064
1.977 -3.327 7.956
1.977 -8.044 12.025
```

Crystal system: orthorhombic
N(E_F) (states/eV per cell): 5.8

***

Entry 4:
Density functional theory data (PBE) for Pr2Mn2Te2S3 after structural relaxation.

Geometry as POSCAR:
```
Pr2Mn2Te2S3
1.0
-2.385 2.385 9.880
2.385 -2.385 9.880
2.385 2.385 -9.880
Pr Mn Te S
2 2 2 3
Cartesian
0.000 0.000 3.444
0.000 0.000 16.316
2.385 0.000 0.000
0.000 2.385 0.000
0.000 0.000 7.958
0.000 0.000 11.803
0.000 0.000 0.000
2.385 0.000 4.940
0.000 2.385 4.940
```

Crystal system: tetragonal
N(E_F) (states/eV per cell): 4.0

***

Entry 5:
Density functional theory data (PBE) for PrMnTlS3 after structural relaxation.

Geometry as POSCAR:
```
PrMnTlS3
1.0
8.949 0.000 0.000
0.000 4.193 0.000
-2.192 0.000 9.227
Pr Mn Tl S
2 2 2 6
Cartesian
1.107 1.048 1.400
5.649 3.145 7.827
2.890 3.145 3.601
3.867 1.048 5.626
1.018 3.145 7.318
5.738 1.048 1.909
-1.358 1.048 7.806
1.792 1.048 4.300
3.085 3.145 1.266
3.671 1.048 7.961
4.964 3.145 4.927
8.115 3.145 1.421
```

Crystal system: monoclinic

***

Entry 6:
Density functional theory data (PBE) for Pr2MnTl3S6 after structural relaxation.

Geometry as POSCAR:
```
Pr2MnTl3S6
1.0
3.565 -5.958 0.000
3.565 5.958 0.000
-2.522 0.000 7.469
Pr Mn Tl S
2 1 3 6
Cartesian
3.565 3.994 0.000
3.565 -3.994 0.000
3.565 0.000 0.000
-1.261 0.000 3.734
2.304 2.032 3.734
2.304 -2.032 3.734
0.022 1.714 6.102
1.200 0.000 1.700
0.022 -1.714 6.102
4.587 1.714 1.367
3.408 0.000 5.769
4.587 -1.714 1.367
```

Crystal system: monoclinic
N(E_F) (states/eV per cell): 0.2

***

Entry 7:
Density functional theory data (PBE) for Pr3MnTl3S8 after structural relaxation.

Geometry as POSCAR:
```
Pr3MnTl3S8
1.0
4.056 2.342 7.581
-4.056 2.342 7.581
0.000 -4.683 7.581
Pr Mn Tl S
3 1 3 8
Cartesian
-2.028 -1.171 7.581
-2.028 1.171 15.162
0.000 2.342 7.581
0.000 0.000 0.000
-4.056 0.000 11.372
-2.028 1.171 3.791
2.028 1.171 3.791
0.000 -2.668 8.976
-2.310 1.334 8.976
-2.310 -1.334 13.768
0.000 0.000 5.996
0.000 0.000 16.747
2.310 1.334 8.976
2.310 -1.334 13.768
0.000 2.668 13.768
```

Crystal system: trigonal
N(E_F) (states/eV per cell): 0.5

***

Entry 8:
Density functional theory data (PBE) for PrMnTl2S4 after structural relaxation.

Geometry as POSCAR:
```
PrMnTl2S4
1.0
7.711 0.000 0.000
-0.759 7.892 0.000
-3.391 -2.882 6.828
Pr Mn Tl S
2 2 4 8
Cartesian
0.000 0.000 0.000
1.452 -1.172 4.024
-0.443 4.624 6.497
1.498 2.612 4.277
-0.653 3.921 0.520
2.807 3.620 0.918
5.201 -1.021 2.976
5.187 2.596 3.019
-1.146 -1.581 5.701
0.237 1.117 2.824
-0.317 4.036 4.205
1.366 6.385 1.087
1.324 2.964 6.780
5.250 1.390 0.057
2.885 4.598 4.068
3.243 1.003 4.491
```

Crystal system: triclinic
N(E_F) (states/eV per cell): 1.3

***

Entry 9:
Density functional theory data (PBE) for PrUMnS4 after structural relaxation.

Geometry as POSCAR:
```
PrUMnS4
1.0
6.539 0.000 0.000
0.000 6.249 0.000
-2.265 0.000 7.395
Pr U Mn S
2 2 2 8
Cartesian
1.452 1.562 0.438
2.821 4.687 6.957
0.250 1.562 4.120
4.024 4.687 3.276
0.863 4.687 2.325
3.411 1.562 5.071
-1.579 3.188 5.485
-1.579 6.186 5.485
2.603 4.687 0.884
1.519 4.687 4.477
2.755 1.562 2.919
1.670 1.562 6.511
5.852 0.063 1.910
5.852 3.062 1.910
```

Crystal system: monoclinic
N(E_F) (states/eV per cell): 16.3

***

Entry 10:
Density functional theory data (PBE) for Pr2YMnS5 after structural relaxation.

Geometry as POSCAR:
```
Pr2YMnS5
1.0
1.975 -8.330 0.000
1.975 8.330 0.000
0.000 0.000 12.065
Pr Y Mn S
4 2 2 10
Cartesian
1.975 6.360 6.032
1.975 6.281 1.817
1.975 -6.281 7.849
1.975 -6.360 0.000
1.975 5.250 10.053
1.975 -5.250 4.020
1.975 0.837 2.853
1.975 -0.837 8.885
1.975 8.020 10.019
1.975 3.328 5.935
1.975 3.123 2.057
1.975 2.544 9.951
1.975 0.111 6.800
1.975 -0.111 0.767
1.975 -2.544 3.919
1.975 -3.123 8.090
1.975 -3.328 11.967
1.975 -8.020 3.987
```

Crystal system: orthorhombic
N(E_F) (states/eV per cell): 5.7

***

Entry 11:
Density functional theory data (PBE) for PrMn4Sb12 after structural relaxation.

Geometry as POSCAR:
```
PrMn4Sb12
1.0
-4.661 4.661 4.661
4.661 -4.661 4.661
4.661 4.661 -4.661
Pr Mn Sb
1 4 12
Cartesian
0.000 0.000 0.000
2.331 2.331 -2.331
2.331 -2.331 2.331
-2.331 2.331 2.331
2.331 2.331 2.331
3.115 1.495 0.000
6.208 1.495 0.000
4.661 -1.546 3.167
3.167 4.661 -1.546
1.495 0.000 3.115
0.000 3.115 1.495
4.661 1.546 3.167
3.167 4.661 1.546
1.495 0.000 6.208
0.000 6.208 1.495
-1.546 3.167 4.661
1.546 3.167 4.661
```

Crystal system: cubic
N(E_F) (states/eV per cell): 10.9

***

Entry 12:
Density functional theory data (PBE) for PrMnSb2 after structural relaxation.

Geometry as POSCAR:
```
PrMnSb2
1.0
2.350 1.357 5.365
-2.350 1.357 5.365
0.000 -2.714 5.365
Pr Mn Sb
1 1 2
Cartesian
0.000 0.000 0.000
0.000 0.000 8.047
0.000 0.000 3.606
0.000 0.000 12.489
```

Crystal system: trigonal
N(E_F) (states/eV per cell): 2.9

***

no.,formation energy from raw total energies (meV/atom)
1,-1710
2,-1077
3,-1727
4,-1055
5,-1102
6,-1062
7,-1168
8,-869
9,-1298
10,-1729
11,-126
12,-364